Density functional theory data (PBE-GGA) for a relaxed structure of Ba2NdErS4.

## Properties
ΔE_f (raw): -2.001 eV/atom
Uncorrected energy: -45.70 eV/cell
N(E_F): 3.6 states/eV/f.u.
Calculated volume: 26.8 Å³ per atom
M_tot: 0.00 μB per cell
Theoretical density: 5.5 g/cm3

Unit cell a=4.1653 b=7.2164 c=7.5336 alpha=108.59 beta=90.00 gamma=90.00
Closest atoms and distances in Å follow each position.
Positions (direct):
Ba1 0.5000 0.0000 0.5000  6 S 3.12-3.13
Ba2 0.0000 0.5000 0.5000  6 S 3.20-3.21
Nd1 0.5000 0.5000 0.0000  6 S 2.88-2.89
Er1 0.0000 0.0000 0.0000  6 S 2.79-2.81
S1 0.5000 0.2276 0.2098  2 Er 2.81, 1 Nd 2.89, 1 Ba 3.13
S2 0.5000 0.7724 0.7902  2 Er 2.81, 1 Nd 2.89, 1 Ba 3.13
S3 0.0000 0.2515 0.7851  1 Er 2.79, 2 Nd 2.88, 2 Ba 3.12
S4 0.0000 0.7485 0.2149  1 Er 2.79, 2 Nd 2.88, 2 Ba 3.12